# 1
DFT (PBE) results for a relaxed DySnAu crystal.

a b c (Å): 3.2381 3.2381 15.8088
angles (deg): 90.00 90.00 90.00
With the nearest neighbours (Å) after each atom.
Element x y z (fractional)
1 Dy 0.0000 0.0000 0.0000  1 Au 2.85, 1 Sn 3.18
2 Dy 0.5000 0.5000 0.5000  1 Au 2.85, 1 Sn 3.18
3 Sn 0.0000 0.0000 0.2010  4 Au 2.96, 1 Dy 3.18, 4 Sn 3.24
4 Sn 0.5000 0.5000 0.7010  4 Au 2.96, 1 Dy 3.18, 4 Sn 3.24
5 Au 0.0000 0.0000 0.8200  1 Dy 2.85, 4 Sn 2.96
6 Au 0.5000 0.5000 0.3200  1 Dy 2.85, 4 Sn 2.96

size of the total moment: 0.00 μB/atom
calculated formation energy: 54.0 kJ/mol of formula units

***

# 2
DFT (PBE) results for a relaxed Tc2NiPb crystal.

a b c (Å): 2.9257 3.8147 6.0267
angles (deg): 90.00 90.00 90.00
With the nearest neighbours (Å) after each atom.
Element x y z (fractional)
1 Tc 0.0000 0.0000 0.1888  1 Tc 2.28
2 Tc 0.0000 0.0000 0.8112  1 Tc 2.28
3 Ni 0.5000 0.5000 0.0000  8 Tc 2.66, 2 Ni 2.93
4 Pb 0.5000 0.5000 0.5000  2 Pb 2.93, 2 Ni 3.01, 8 Tc 3.05

size of the total moment: 0.00 μB/atom
calculated formation energy: 203.9 kJ/mol of formula units

***

# 3
DFT (PBE) results for a relaxed NaTlPdPb crystal.

a b c (Å): 7.1305 7.1305 7.1305
angles (deg): 90.00 90.00 90.00
With the nearest neighbours (Å) after each atom.
Element x y z (fractional)
1 Na 0.0000 0.0000 0.0000  4 Pb 3.09, 4 Tl 3.09
2 Na 0.0000 0.5000 0.5000  4 Pb 3.09, 4 Tl 3.09
3 Na 0.5000 0.0000 0.5000  4 Pb 3.09, 4 Tl 3.09
4 Na 0.5000 0.5000 0.0000  4 Pb 3.09, 4 Tl 3.09
5 Tl 0.2500 0.2500 0.2500  4 Na 3.09, 4 Pd 3.09
6 Tl 0.2500 0.7500 0.7500  4 Na 3.09, 4 Pd 3.09
7 Tl 0.7500 0.2500 0.7500  4 Na 3.09, 4 Pd 3.09
8 Tl 0.7500 0.7500 0.2500  4 Na 3.09, 4 Pd 3.09
9 Pd 0.0000 0.0000 0.5000  4 Tl 3.09, 4 Pb 3.09
10 Pd 0.0000 0.5000 0.0000  4 Tl 3.09, 4 Pb 3.09
11 Pd 0.5000 0.0000 0.0000  4 Tl 3.09, 4 Pb 3.09
12 Pd 0.5000 0.5000 0.5000  4 Tl 3.09, 4 Pb 3.09
13 Pb 0.2500 0.2500 0.7500  4 Na 3.09, 4 Pd 3.09
14 Pb 0.2500 0.7500 0.2500  4 Na 3.09, 4 Pd 3.09
15 Pb 0.7500 0.2500 0.2500  4 Na 3.09, 4 Pd 3.09
16 Pb 0.7500 0.7500 0.7500  4 Na 3.09, 4 Pd 3.09

size of the total moment: 0.00 μB/atom
calculated formation energy: -47.5 kJ/mol of formula units

***

# 4
DFT (PBE) results for a relaxed SbN crystal.

a b c (Å): 10.4058 10.4058 3.2630
angles (deg): 90.00 90.00 90.00
With the nearest neighbours (Å) after each atom.
Element x y z (fractional)
1 Sb 0.0602 0.2787 0.0000  3 N 2.08-2.11
2 Sb 0.2213 0.5602 0.5000  3 N 2.08-2.11
3 Sb 0.2787 0.9398 0.0000  3 N 2.08-2.11
4 Sb 0.4398 0.2213 0.5000  3 N 2.08-2.11
5 Sb 0.5602 0.7787 0.5000  3 N 2.08-2.11
6 Sb 0.7213 0.0602 0.0000  3 N 2.08-2.11
7 Sb 0.7787 0.4398 0.5000  3 N 2.08-2.11
8 Sb 0.9398 0.7213 0.0000  3 N 2.08-2.11
9 N 0.1252 0.6388 0.0000  3 Sb 2.08-2.11
10 N 0.1388 0.3748 0.5000  3 Sb 2.08-2.11
11 N 0.3612 0.1252 0.0000  3 Sb 2.08-2.11
12 N 0.3748 0.8612 0.5000  3 Sb 2.08-2.11
13 N 0.6252 0.1388 0.5000  3 Sb 2.08-2.11
14 N 0.6388 0.8748 0.0000  3 Sb 2.08-2.11
15 N 0.8612 0.6252 0.5000  3 Sb 2.08-2.11
16 N 0.8748 0.3612 0.0000  3 Sb 2.08-2.11

size of the total moment: 0.00 μB/atom
ΔE_f (raw): 407.7 meV/atom

***

# 5
DFT (PBE) results for a relaxed Nd3YHo8 crystal.

a b c (Å): 8.6727 8.6727 8.6727
angles (deg): 136.41 98.33 97.52
With the nearest neighbours (Å) after each atom.
Element x y z (fractional)
1 Nd 0.0000 0.0000 0.0000  8 Ho 3.29-3.45
2 Nd 0.2533 0.7533 0.5000  6 Ho 3.75
3 Nd 0.7467 0.2467 0.5000  6 Ho 3.75
4 Y 0.5000 0.5000 0.0000  8 Ho 3.23-3.44
5 Ho 0.0808 0.2505 0.8303  6 Ho 3.39-3.70, 1 Y 3.44, 4 Nd 3.45-3.75
6 Ho 0.2541 0.2478 0.5020  6 Ho 3.19-3.42, 1 Y 3.23, 1 Nd 3.29
7 Ho 0.2541 0.7522 0.0063  6 Ho 3.19-3.42, 1 Y 3.23, 1 Nd 3.29
8 Ho 0.4202 0.2505 0.1697  6 Ho 3.39-3.70, 1 Y 3.44, 4 Nd 3.45-3.75
9 Ho 0.5798 0.7495 0.8303  6 Ho 3.39-3.70, 1 Y 3.44, 4 Nd 3.45-3.75
10 Ho 0.7459 0.2478 0.9937  6 Ho 3.19-3.42, 1 Y 3.23, 1 Nd 3.29
11 Ho 0.7459 0.7522 0.4980  6 Ho 3.19-3.42, 1 Y 3.23, 1 Nd 3.29
12 Ho 0.9192 0.7495 0.1697  6 Ho 3.39-3.70, 1 Y 3.44, 4 Nd 3.45-3.75

size of the total moment: 0.00 μB/atom
calculated formation energy: 343.3 kJ/mol of formula units

***

# 6
DFT (PBE) results for a relaxed Sr2TiRe2 crystal.

a b c (Å): 6.6862 6.6862 5.3896
angles (deg): 90.00 90.00 90.00
With the nearest neighbours (Å) after each atom.
Element x y z (fractional)
1 Sr 0.1751 0.3249 0.0000  6 Re 3.28-3.39, 5 Sr 3.31-3.49, 4 Ti 3.65
2 Sr 0.3249 0.8249 0.0000  6 Re 3.28-3.39, 5 Sr 3.31-3.49, 4 Ti 3.65
3 Sr 0.6751 0.1751 0.0000  6 Re 3.28-3.39, 5 Sr 3.31-3.49, 4 Ti 3.65
4 Sr 0.8249 0.6751 0.0000  6 Re 3.28-3.39, 5 Sr 3.31-3.49, 4 Ti 3.65
5 Ti 0.0000 0.0000 0.5000  4 Re 2.63
6 Ti 0.5000 0.5000 0.5000  4 Re 2.63
7 Re 0.1278 0.6278 0.5000  1 Re 2.42, 2 Ti 2.63
8 Re 0.3722 0.1278 0.5000  1 Re 2.42, 2 Ti 2.63
9 Re 0.6278 0.8722 0.5000  1 Re 2.42, 2 Ti 2.63
10 Re 0.8722 0.3722 0.5000  1 Re 2.42, 2 Ti 2.63

size of the total moment: 0.00 μB/atom
calculated formation energy: 328.1 kJ/mol of formula units

***

# 7
DFT (PBE) results for a relaxed MgGaCl4 crystal.

a b c (Å): 6.2343 6.2343 10.5742
angles (deg): 90.00 90.00 90.00
With the nearest neighbours (Å) after each atom.
Element x y z (fractional)
1 Mg 0.0000 0.0000 0.0000  4 Cl 2.37
2 Mg 0.5000 0.5000 0.5000  4 Cl 2.37
3 Ga 0.0000 0.5000 0.2500  4 Cl 2.48
4 Ga 0.5000 0.0000 0.7500  4 Cl 2.48
5 Cl 0.2098 0.2393 0.1227  1 Mg 2.37, 1 Ga 2.48
6 Cl 0.2393 0.7902 0.8773  1 Mg 2.37, 1 Ga 2.48
7 Cl 0.2607 0.7098 0.3773  1 Mg 2.37, 1 Ga 2.48
8 Cl 0.2902 0.2607 0.6227  1 Mg 2.37, 1 Ga 2.48
9 Cl 0.7098 0.7393 0.6227  1 Mg 2.37, 1 Ga 2.48
10 Cl 0.7393 0.2902 0.3773  1 Mg 2.37, 1 Ga 2.48
11 Cl 0.7607 0.2098 0.8773  1 Mg 2.37, 1 Ga 2.48
12 Cl 0.7902 0.7607 0.1227  1 Mg 2.37, 1 Ga 2.48

size of the total moment: 0.17 μB/atom
ΔE_f (raw): -1220.7 meV/atom

***

# 8
DFT (PBE) results for a relaxed La6Hg2BiTe3 crystal.

a b c (Å): 10.4597 10.4597 9.3391
angles (deg): 107.08 107.08 25.04
With the nearest neighbours (Å) after each atom.
Element x y z (fractional)
1 La 0.0043 0.0043 0.2529  3 Te 3.26, 2 Bi 3.26, 1 Hg 3.35
2 La 0.3308 0.3308 0.8971  3 Te 3.25-3.32, 1 Bi 3.30, 2 Hg 3.30
3 La 0.3370 0.3370 0.3979  3 Te 3.17-3.24, 3 Hg 3.20-3.24
4 La 0.6630 0.6630 0.6021  3 Te 3.17-3.24, 3 Hg 3.20-3.24
5 La 0.6692 0.6692 0.1029  3 Te 3.25-3.32, 1 Bi 3.30, 2 Hg 3.30
6 La 0.9957 0.9957 0.7471  3 Te 3.26, 2 Bi 3.26, 1 Hg 3.35
7 Hg 0.1765 0.1765 0.3646  6 La 3.20-3.35
8 Hg 0.8235 0.8235 0.6354  6 La 3.20-3.35
9 Bi 0.5000 0.5000 0.0000  6 La 3.26-3.30
10 Te 0.1629 0.1629 0.8499  6 La 3.24-3.32
11 Te 0.5000 0.5000 0.5000  6 La 3.17-3.26
12 Te 0.8371 0.8371 0.1501  6 La 3.24-3.32

size of the total moment: 0.00 μB/atom
ΔE_f (raw): -1098.1 meV/atom

***

# 9
DFT (PBE) results for a relaxed Ir2Ru2Rh crystal.

a b c (Å): 6.4396 6.4396 5.1653
angles (deg): 103.50 103.50 43.28
With the nearest neighbours (Å) after each atom.
Element x y z (fractional)
1 Ir 0.0189 0.1852 0.4493  5 Ru 2.65-2.74, 4 Ir 2.70-2.77, 3 Rh 2.71-2.75
2 Ir 0.1852 0.0189 0.9493  5 Ru 2.65-2.74, 4 Ir 2.70-2.77, 3 Rh 2.71-2.75
3 Ir 0.8148 0.9811 0.0507  5 Ru 2.65-2.74, 4 Ir 2.70-2.77, 3 Rh 2.71-2.75
4 Ir 0.9811 0.8148 0.5507  5 Ru 2.65-2.74, 4 Ir 2.70-2.77, 3 Rh 2.71-2.75
5 Ru 0.2150 0.3823 0.8498  5 Ir 2.65-2.74, 5 Ru 2.68-2.73, 2 Rh 2.71-2.75
6 Ru 0.3823 0.2150 0.3498  5 Ir 2.65-2.74, 5 Ru 2.68-2.73, 2 Rh 2.71-2.75
7 Ru 0.6177 0.7850 0.6502  5 Ir 2.65-2.74, 5 Ru 2.68-2.73, 2 Rh 2.71-2.75
8 Ru 0.7850 0.6177 0.1502  5 Ir 2.65-2.74, 5 Ru 2.68-2.73, 2 Rh 2.71-2.75
9 Rh 0.4165 0.5835 0.2500  2 Rh 2.70, 4 Ru 2.71-2.75, 6 Ir 2.71-2.75
10 Rh 0.5835 0.4165 0.7500  2 Rh 2.70, 4 Ru 2.71-2.75, 6 Ir 2.71-2.75

size of the total moment: 0.00 μB/atom
calculated formation energy: -7.4 kJ/mol of formula units

***

> size of the total moment of number 6 (Sr2TiRe2)?

0.00 μB/atom

***

> size of the total moment of number 3 (NaTlPdPb)?

0.00 μB/atom

***

> What is the formula in the sixth record?

Sr2TiRe2

***

> Number 6 is which compound?

Sr2TiRe2